# Ag2PF, optimized geometry, DFT PBE-GGA
data_Ag2PF
_space_group_name_H-M_alt 'P 1'
_space_group_IT_number 1
_cell_length_a 5.688
_cell_length_b 5.688
_cell_length_c 5.688
_cell_angle_alpha 111.46
_cell_angle_beta 111.46
_cell_angle_gamma 105.56
loop_
_space_group_symop_operation_xyz
'x,y,z'
loop_
_atom_site_label
_atom_site_fract_x
_atom_site_fract_y
_atom_site_fract_z
Ag1 0.115 0.625 0.990
Ag2 0.375 0.365 0.490
Ag3 0.635 0.125 0.010
Ag4 0.875 0.885 0.510
P1 0.250 0.750 0.500
P2 0.500 0.500 0.000
F1 0.000 0.000 0.000
F2 0.750 0.250 0.500
# - V: 141 Å³/cell
# - Space-group type: I-42d
# - Offset from the most stable computed form: 0.0000 eV/atom
# - Magnetic moment: 0.00 Bohr magnetons per cell
# - Crystal system: tetragonal
# - Energy relative to the elements, uncorrected: -1.0 eV/f.u.
# - E: -13.9 eV per formula unit